Record 1
The following is a GGA-PBE calculation of Cd3In2Bi2 after structural relaxation, from Alexandria via LeMat-Bulk.

a = 5.5292 Å, b = 5.5356 Å, c = 7.5436 Å
α = 77.54°, β = 119.04°, γ = 96.91°
Fractional coordinates of all 7 atoms:
In (0.0720, 0.3985, 0.2465)
In (0.9280, 0.6015, 0.7535)
Cd (0.7026, 0.1946, 0.4645)
Cd (0.2974, 0.8054, 0.5355)
Cd (0.0000, 0.0000, 0.0000)
Bi (0.3818, 0.2285, 0.7760)
Bi (0.6182, 0.7715, 0.2240)

**Formation enthalpy at 0 K**: 0.0548 eV/atom
**E**: -15.601 eV for the cell shown
**Total magnetic moment**: 0.00 μB per atom


Record 2
The following is a GGA-PBE calculation of Np2SeS after structural relaxation, from Alexandria via LeMat-Bulk.

a = 4.0190 Å, b = 6.7577 Å, c = 7.0152 Å
α = 90.00°, β = 90.00°, γ = 90.00°
Fractional coordinates of all 8 atoms:
S (0.2500, 0.7500, 0.9141)
S (0.7500, 0.2500, 0.0859)
Se (0.7500, 0.7500, 0.4207)
Se (0.2500, 0.2500, 0.5793)
Np (0.7500, 0.5019, 0.7661)
Np (0.2500, 0.4981, 0.2339)
Np (0.2500, 0.0019, 0.2339)
Np (0.7500, 0.9981, 0.7661)

**Formation energy from raw total energies**: -1.053 eV per atom
**E**: -75.408 eV for the cell shown
**Relative energy among the computed polymorphs**: 0.619 eV/f.u.
**Total magnetic moment**: 2.29 μB per atom


Record 3
The following is a GGA-PBE calculation of NaAlZnGe after structural relaxation, from Alexandria via LeMat-Bulk.

a = 4.7281 Å, b = 4.7281 Å, c = 4.7281 Å
α = 60.00°, β = 60.00°, γ = 60.00°
Fractional coordinates of all 4 atoms:
Zn (0.0000, 0.0000, 0.0000)
Al (0.2500, 0.2500, 0.2500)
Na (0.7500, 0.7500, 0.7500)
Ge (0.5000, 0.5000, 0.5000)

**Formation enthalpy at 0 K**: 0.0771 eV/atom
**E**: -10.644 eV for the cell shown
**Total magnetic moment**: 0.00 μB per atom


Record 4
The following is a GGA-PBE calculation of YCd2FeN after structural relaxation, from Alexandria via LeMat-Bulk.

a = 4.9326 Å, b = 4.9247 Å, c = 4.9326 Å
α = 90.00°, β = 90.00°, γ = 90.00°
Fractional coordinates of all 5 atoms:
N (0.5000, 0.5000, 0.5000)
Cd (0.5000, 0.0000, 0.0000)
Cd (0.0000, 0.0000, 0.5000)
Y (0.0000, 0.5000, 0.0000)
Fe (0.0000, 0.0000, 0.0000)

**Formation energy from raw total energies**: 1.089 eV per atom
**E**: -19.639 eV for the cell shown
**Total magnetic moment**: 0.54 μB per atom


Record 5
The following is a GGA-PBE calculation of Ba2SrAs after structural relaxation, from Alexandria via LeMat-Bulk.

a = 4.0968 Å, b = 4.0967 Å, c = 10.7877 Å
α = 90.00°, β = 90.00°, γ = 90.05°
Fractional coordinates of all 4 atoms:
Ba (0.5000, 0.5000, 0.2645)
Ba (0.0000, 0.0000, 0.9044)
As (0.5000, 0.5000, 0.7370)
Sr (0.0000, 0.0000, 0.5941)

**Formation enthalpy at 0 K**: -0.5379 eV/atom
**E**: -12.329 eV for the cell shown
**Total magnetic moment**: 0.17 μB per atom


Record 6
The following is a GGA-PBE calculation of CsCoGe2 after structural relaxation, from Alexandria via LeMat-Bulk.

a = 4.0401 Å, b = 4.0401 Å, c = 7.4531 Å
α = 74.27°, β = 74.27°, γ = 60.00°
Fractional coordinates of all 4 atoms:
Cs (0.5000, 0.5000, 0.5000)
Co (0.0000, 0.0000, 0.0000)
Ge (0.6999, 0.6999, 0.9004)
Ge (0.3001, 0.3001, 0.0996)

**Formation enthalpy at 0 K**: -0.0437 eV/atom
**E**: -17.369 eV for the cell shown
**Relative energy among the computed polymorphs**: 0.226 eV/f.u.
**Total magnetic moment**: 0.19 μB per atom


Record 7
The following is a GGA-PBE calculation of Pr6AlCd2 after structural relaxation, from Alexandria via LeMat-Bulk.

a = 9.0703 Å, b = 9.0703 Å, c = 9.0703 Å
α = 112.22°, β = 108.45°, γ = 107.78°
Fractional coordinates of all 18 atoms:
Cd (0.3643, 0.0000, 0.3643)
Cd (0.6357, 0.0000, 0.6357)
Cd (0.5000, 0.6396, 0.1396)
Cd (0.5000, 0.3604, 0.8604)
Pr (0.7406, 0.0661, 0.3255)
Pr (0.8056, 0.2567, 0.0623)
Pr (0.1944, 0.7433, 0.9377)
Pr (0.0820, 0.2600, 0.8220)
Pr (0.8056, 0.7433, 0.5488)
Pr (0.4379, 0.2600, 0.1780)
Pr (0.5621, 0.7400, 0.8220)
Pr (0.7406, 0.4151, 0.6745)
Pr (0.1944, 0.2567, 0.4512)
Pr (0.2594, 0.9339, 0.6745)
Pr (0.2594, 0.5849, 0.3255)
Pr (0.9180, 0.7400, 0.1780)
Al (0.0000, 0.5000, 0.5000)
Al (0.0000, 0.0000, 0.0000)

**Formation enthalpy at 0 K**: -0.1498 eV/atom
**E**: -71.197 eV for the cell shown
**Total magnetic moment**: 0.00 μB per atom


Record 8
The following is a GGA-PBE calculation of HfCuAg2 after structural relaxation, from Alexandria via LeMat-Bulk.

a = 4.6074 Å, b = 4.6074 Å, c = 4.6074 Å
α = 60.00°, β = 60.00°, γ = 60.00°
Fractional coordinates of all 4 atoms:
Ag (0.2500, 0.2500, 0.2500)
Ag (0.7500, 0.7500, 0.7500)
Hf (0.5000, 0.5000, 0.5000)
Cu (0.0000, 0.0000, 0.0000)

**Formation enthalpy at 0 K**: 0.1014 eV/atom
**E**: -19.346 eV for the cell shown
**Relative energy among the computed polymorphs**: 0.023 eV/f.u.
**Total magnetic moment**: 0.00 μB per atom


Record 9
The following is a GGA-PBE calculation of Tm6AlIn5 after structural relaxation, from Alexandria via LeMat-Bulk.

a = 5.2362 Å, b = 7.3453 Å, c = 8.2728 Å
α = 90.00°, β = 71.62°, γ = 90.00°
Fractional coordinates of all 12 atoms:
In (0.0000, 0.5000, 0.0000)
In (0.6678, 0.0000, 0.6641)
In (0.6679, 0.5000, 0.6638)
In (0.3321, 0.5000, 0.3362)
In (0.3322, 0.0000, 0.3359)
Tm (0.5000, 0.7558, 0.0000)
Tm (0.8366, 0.2469, 0.3271)
Tm (0.1634, 0.7531, 0.6729)
Tm (0.1634, 0.2469, 0.6729)
Tm (0.8366, 0.7531, 0.3271)
Tm (0.5000, 0.2442, 0.0000)
Al (0.0000, 0.0000, 0.0000)

**Formation enthalpy at 0 K**: -0.4092 eV/atom
**E**: -49.174 eV for the cell shown
**Total magnetic moment**: 0.00 μB per atom


Record 10
The following is a GGA-PBE calculation of LiTi2Cd after structural relaxation, from Alexandria via LeMat-Bulk.

a = 7.5444 Å, b = 7.5444 Å, c = 5.8952 Å
α = 50.22°, β = 50.22°, γ = 90.00°
Fractional coordinates of all 8 atoms:
Ti (0.8750, 0.8621, 0.7500)
Ti (0.6121, 0.1250, 0.2500)
Ti (0.3750, 0.3879, 0.7500)
Ti (0.1379, 0.6250, 0.2500)
Cd (0.0000, 0.0000, 0.0000)
Cd (0.7500, 0.2500, 0.5000)
Li (0.2500, 0.7500, 0.5000)
Li (0.5000, 0.5000, 0.0000)

**Formation enthalpy at 0 K**: 0.4261 eV/atom
**E**: -33.828 eV for the cell shown
**Total magnetic moment**: 0.00 μB per atom


Record 11
The following is a GGA-PBE calculation of InWI2 after structural relaxation, from Alexandria via LeMat-Bulk.

a = 9.6075 Å, b = 9.6075 Å, c = 7.3559 Å
α = 49.23°, β = 49.23°, γ = 90.00°
Fractional coordinates of all 8 atoms:
In (0.5000, 0.5000, 0.0000)
In (0.2500, 0.7500, 0.5000)
I (0.3750, 0.2374, 0.7500)
I (0.8750, 0.0126, 0.7500)
I (0.9874, 0.6250, 0.2500)
I (0.7626, 0.1250, 0.2500)
W (0.7500, 0.2500, 0.5000)
W (0.0000, 0.0000, 0.0000)

**Formation energy from raw total energies**: 0.612 eV per atom
**E**: -32.687 eV for the cell shown
**Relative energy among the computed polymorphs**: 0.000 eV/f.u.
**Total magnetic moment**: 0.00 μB per atom


Record 12
The following is a GGA-PBE calculation of ReTe2Br after structural relaxation, from Alexandria via LeMat-Bulk.

a = 5.1311 Å, b = 5.1311 Å, c = 5.1311 Å
α = 124.74°, β = 124.74°, γ = 81.96°
Fractional coordinates of all 4 atoms:
Re (0.7500, 0.2500, 0.5000)
Br (0.5000, 0.5000, 0.0000)
Te (0.2500, 0.7500, 0.5000)
Te (0.0000, 0.0000, 0.0000)

**Formation energy from raw total energies**: 1.160 eV per atom
**E**: -15.766 eV for the cell shown
**Relative energy among the computed polymorphs**: 4.798 eV/f.u.
**Total magnetic moment**: 0.00 μB per atom